VASP calculation (PBE) on a relaxed structure of V3CS3.

Mass density = 4.43 g cm⁻³
Density of states at the Fermi level = 8.86 states/eV per cell
Raw formation energy = -18.140 kcal/mol of atoms
E above lowest polymorph = 0.0 meV/atom
Spin magnetization = 0.00 Bohr magnetons per cell

abc: 6.7228 3.1411 9.2593
angles: 90.00 90.99 90.00
Space group P2_1/m (No. 11)
Inequivalent atoms, fractional coordinates:
V1 0.0906 0.2500 0.3932 x2
V2 0.1278 0.2500 0.8324 x2
V3 0.3103 0.7500 0.6260 x2
C1 0.1129 0.2500 0.6135 x2
S1 0.1232 0.2500 0.1265 x2
S2 0.3771 0.7500 0.8698 x2
S3 0.3813 0.7500 0.3787 x2

VASP calculation (PBE) on a relaxed structure of VCS2.

Mass density = 3.76 g cm⁻³
Density of states at the Fermi level = 11.61 states/eV per cell
Raw formation energy = 15.767 kcal/mol of atoms
Spin magnetization = 3.03 Bohr magnetons per cell

abc: 4.9872 4.9872 9.0171
angles: 90.00 90.00 90.00
Space group I-42d (No. 122)
Inequivalent atoms, fractional coordinates:
V1 0.0000 0.0000 0.0000 x4
C1 0.0000 0.0000 0.5000 x4
S1 0.1989 0.2500 0.6250 x8

VASP calculation (PBE) on a relaxed structure of V2CS.

Mass density = 5.39 g cm⁻³
Density of states at the Fermi level = 9.54 states/eV per cell
Raw formation energy = -15.000 kcal/mol of atoms
Spin magnetization = 0.00 Bohr magnetons per cell

abc: 3.0590 3.0590 16.6509
angles: 90.00 90.00 120.00
Space group R3m (No. 160, hexagonal axes)
Inequivalent atoms, fractional coordinates:
V1 0.0000 0.0000 0.0000 x3
V2 0.0000 0.0000 0.2029 x3
C1 0.0000 0.0000 0.6011 x3
S1 0.0000 0.0000 0.7694 x3

VASP calculation (PBE) on a relaxed structure of VC2S.

Mass density = 4.22 g cm⁻³
Density of states at the Fermi level = 12.42 states/eV per cell
Raw formation energy = 22.780 kcal/mol of atoms
Spin magnetization = 0.00 Bohr magnetons per cell

abc: 4.6158 4.6158 7.8981
angles: 90.00 90.00 90.00
Space group I-42d (No. 122)
Inequivalent atoms, fractional coordinates:
V1 0.0000 0.0000 0.0000 x4
C1 0.2037 0.2500 0.6250 x8
S1 0.0000 0.0000 0.5000 x4

VASP calculation (PBE) on a relaxed structure of V2CS.

Mass density = 4.15 g cm⁻³
Density of states at the Fermi level = 20.58 states/eV per cell
Raw formation energy = -3.708 kcal/mol of atoms
Spin magnetization = 7.87 Bohr magnetons per cell

abc: 4.9782 4.9782 9.4267
angles: 90.00 90.00 90.00
Space group I-42d (No. 122)
Inequivalent atoms, fractional coordinates:
V1 0.1915 0.2500 0.1250 x8
C1 0.0000 0.0000 0.0000 x4
S1 0.0000 0.0000 0.5000 x4

VASP calculation (PBE) on a relaxed structure of V2CS.

Mass density = 5.26 g cm⁻³
Density of states at the Fermi level = 8.41 states/eV per cell
Raw formation energy = -15.166 kcal/mol of atoms
Spin magnetization = 0.00 Bohr magnetons per cell

abc: 3.0940 3.0940 16.6784
angles: 90.00 90.00 120.00
Space group R-3m (No. 166, hexagonal axes)
Inequivalent atoms, fractional coordinates:
V1 0.0000 0.0000 0.2271 x6
C1 0.0000 0.0000 0.5000 x3
S1 0.0000 0.0000 0.0000 x3

VASP calculation (PBE) on a relaxed structure of VCS.

Mass density = 3.85 g cm⁻³
Density of states at the Fermi level = 4.78 states/eV per cell
Raw formation energy = 2.309 kcal/mol of atoms
Spin magnetization = 3.80 Bohr magnetons per cell

abc: 8.4823 4.0480 4.7706
angles: 90.00 90.00 90.00
Space group Pnma (No. 62)
Inequivalent atoms, fractional coordinates:
V1 0.0652 0.2500 0.1686 x4
C1 0.0769 0.7500 0.1391 x4
S1 0.1520 0.7500 0.4816 x4

VASP calculation (PBE) on a relaxed structure of V5CS5.

Mass density = 4.35 g cm⁻³
Density of states at the Fermi level = 13.30 states/eV per cell
Raw formation energy = -16.557 kcal/mol of atoms
Spin magnetization = 2.57 Bohr magnetons per cell

abc: 10.7313 4.5497 6.9901
angles: 90.00 107.17 90.00
Space group C2/m (No. 12)
Inequivalent atoms, fractional coordinates:
V1 0.0000 0.0000 0.0000 x2
V2 0.1171 0.5000 0.2718 x4
V3 0.1246 0.5000 0.8327 x4
C1 0.0000 0.5000 0.0000 x2
S1 0.0000 0.5000 0.5000 x2
S2 0.1792 0.0000 0.3158 x4
S3 0.1848 0.0000 0.8526 x4

VASP calculation (PBE) on a relaxed structure of V3CS3.

Mass density = 4.16 g cm⁻³
Density of states at the Fermi level = 11.11 states/eV per cell
Raw formation energy = -8.757 kcal/mol of atoms
E above lowest polymorph = 406.9 meV/atom
Spin magnetization = 0.00 Bohr magnetons per cell

abc: 7.1547 7.1547 4.7019
angles: 90.00 90.00 120.00
Space group P6_3/mmc (No. 194)
Inequivalent atoms, fractional coordinates:
V1 0.1766 0.3532 0.2500 x6
C1 0.3333 0.6667 0.2500 x2
S1 0.1948 0.3896 0.7500 x6

VASP calculation (PBE) on a relaxed structure of V4CS5.

Mass density = 4.17 g cm⁻³
Density of states at the Fermi level = 7.28 states/eV per cell
Raw formation energy = -18.607 kcal/mol of atoms
Spin magnetization = 0.00 Bohr magnetons per cell

abc: 14.6716 3.1553 6.6345
angles: 90.00 103.06 90.00
Space group C2/m (No. 12)
Inequivalent atoms, fractional coordinates:
V1 0.0015 0.0000 0.2911 x4
V2 0.1379 0.5000 0.5741 x4
C1 0.0000 0.5000 0.5000 x2
S1 0.0000 0.5000 0.0000 x2
S2 0.1595 0.0000 0.8368 x4
S3 0.1695 0.0000 0.3387 x4

VASP calculation (PBE) on a relaxed structure of WC2S.

Mass density = 8.83 g cm⁻³
Density of states at the Fermi level = 6.55 states/eV per cell
Raw formation energy = 29.136 kcal/mol of atoms
Spin magnetization = 0.00 Bohr magnetons per cell

abc: 4.6845 4.6845 8.2291
angles: 90.00 90.00 90.00
Space group I-42d (No. 122)
Inequivalent atoms, fractional coordinates:
W1 0.0000 0.0000 0.0000 x4
C1 0.1979 0.2500 0.6250 x8
S1 0.0000 0.0000 0.5000 x4

VASP calculation (PBE) on a relaxed structure of WCS3.

Mass density = 4.77 g cm⁻³
Density of states at the Fermi level = 4.24 states/eV per cell
Raw formation energy = 32.954 kcal/mol of atoms
E above lowest polymorph = 96.5 meV/atom
Spin magnetization = 1.49 Bohr magnetons per cell

abc: 4.6664 4.6664 4.6664
angles: 90.00 90.00 90.00
Space group Pm-3m (No. 221)
Inequivalent atoms, fractional coordinates:
W1 0.0000 0.0000 0.0000 x1
C1 0.5000 0.5000 0.5000 x1
S1 0.0000 0.0000 0.5000 x3